1.
Entry from Alexandria via LeMat-Bulk: a relaxed K2Ir3RuO12 crystal (PBE-GGA).

Properties
For the density of states at the Fermi level, the calculation gives 14.71 states/eV/f.u. The uncorrected formation energy comes out at -0.9283 eV per atom. Its space group is R-3m (166). As for the total DFT energy (no corrections): -6.3479 eV per atom.

Unit cell a=7.2107 b=7.2107 c=7.2107 alpha=59.75 beta=59.75 gamma=59.75
Fractional coordinates of all 18 atoms:
1 K 0.1232 0.1232 0.1232
2 K 0.8768 0.8768 0.8768
3 Ir 0.0000 0.5000 0.5000
4 Ir 0.5000 0.0000 0.5000
5 Ir 0.5000 0.5000 0.0000
6 Ru 0.5000 0.5000 0.5000
7 O 0.1763 0.1763 0.5704
8 O 0.1763 0.5704 0.1763
9 O 0.1839 0.5659 0.5659
10 O 0.4296 0.8237 0.8237
11 O 0.4341 0.4341 0.8161
12 O 0.4341 0.8161 0.4341
13 O 0.5659 0.1839 0.5659
14 O 0.5659 0.5659 0.1839
15 O 0.5704 0.1763 0.1763
16 O 0.8161 0.4341 0.4341
17 O 0.8237 0.4296 0.8237
18 O 0.8237 0.8237 0.4296


2.
Entry from Alexandria via LeMat-Bulk: a relaxed KIrRuO6 crystal (PBE-GGA).

Properties
For the density of states at the Fermi level, the calculation gives 5.05 states/eV/f.u. The uncorrected formation energy comes out at -0.9829 eV per atom. Its space group is P312 (149). As for the total DFT energy (no corrections): -6.4255 eV per atom.

Unit cell a=5.3319 b=5.3319 c=5.8059 alpha=90.00 beta=90.00 gamma=120.00
Fractional coordinates of all 9 atoms:
1 K 0.0000 0.0000 0.0000
2 Ir 0.6667 0.3333 0.5000
3 Ru 0.3333 0.6667 0.5000
4 O 0.0007 0.3900 0.6790
5 O 0.0007 0.6107 0.3210
6 O 0.3893 0.3900 0.3210
7 O 0.3893 0.9993 0.6790
8 O 0.6100 0.6107 0.6790
9 O 0.6100 0.9993 0.3210